Here is an optimized crystal structure of NiPdF3 from Alexandria. Energies are from PBE+U.

abc: 4.216 4.216 4.216
angles: 90.00 90.00 90.00
Space group Pm-3m (No. 221)
One atom of each set of equivalent atoms:
Ni (0.000, 0.000, 0.000) [1 per cell]
Pd (0.500, 0.500, 0.500) [1 per cell]
F (0.000, 0.500, 0.500) [3 per cell]

Computed properties:
Mass density in Mg/m³: 4.9
N(E_F) in states/eV per atom: 1.301
Distance to the lowest polymorph of the same formula in meV/atom: 840.7
E_tot in eV/atom: -3.106